# 1
Below is an optimized crystal structure of NbGaNi, with properties calculated at the GGA-PBE level.

Structure (POSCAR):
```
NbGaNi
1.0
2.879 0.000 0.000
0.000 2.879 0.000
-1.440 -1.440 5.213
Ni Nb Ga
1 1 1
Cartesian
0.000 0.000 3.087
1.440 1.440 1.262
1.440 1.440 4.514
```

Calculated values
Formation enthalpy at 0 K = -331 meV per atom
Total energy = -6.6239 eV per atom

=====

# 2
Below is an optimized crystal structure of YRuPt2, with properties calculated at the GGA-PBE level.

Structure (POSCAR):
```
YRuPt2
1.0
-2.638 0.378 -4.192
-0.684 -1.989 -4.500
-3.747 -3.209 0.891
Pt Ru Y
2 1 1
Cartesian
-3.360 -1.650 -8.640
-1.860 -1.290 -1.888
-3.361 -2.252 -4.014
-5.343 -3.649 -5.850
```

Calculated values
Formation enthalpy at 0 K = -370 meV per atom
Total energy = -7.3255 eV per atom

=====

# 3
Below is an optimized crystal structure of VH2AuN, with properties calculated at the GGA-PBE level.

Structure (POSCAR):
```
VH2AuN
1.0
-0.929 -2.096 1.920
1.738 -2.361 0.592
3.596 3.856 6.013
V H Au N
1 2 1 1
Cartesian
0.877 -1.130 3.390
2.537 0.024 3.125
2.760 0.712 6.373
2.763 2.520 6.018
2.032 -2.376 2.590
```

Calculated values
Polymorph energy (0 for the lowest one) = 245 meV per atom
Total energy = -5.4967 eV per atom

=====

# 4
Below is an optimized crystal structure of Cd2Si2Hg, with properties calculated at the GGA-PBE level.

Structure (POSCAR):
```
Cd2Si2Hg
1.0
-1.682 -3.011 -0.242
1.101 -0.353 -3.258
6.925 -5.945 1.150
Si Hg Cd
2 1 2
Cartesian
2.476 -5.319 -0.421
3.868 -3.990 -1.929
0.000 0.000 0.000
1.293 -2.617 -1.113
5.051 -6.692 -1.236
```

Calculated values
Polymorph energy (0 for the lowest one) = 0 meV per atom
Total energy = -2.3585 eV per atom
ΔE_f (raw) = 1.19 eV/f.u.

=====

# 5
Below is an optimized crystal structure of CaTcPb2, with properties calculated at the GGA-PBE level.

Structure (POSCAR):
```
CaTcPb2
1.0
10.486 0.069 0.041
9.904 3.447 0.041
9.904 1.708 2.995
Pb Ca Tc
2 1 1
Cartesian
0.019 0.003 0.002
7.072 1.219 0.718
23.147 3.991 2.350
15.203 2.622 1.544
```

Calculated values
Formation enthalpy at 0 K = 450 meV per atom
Polymorph energy (0 for the lowest one) = 327 meV per atom
Total energy = -4.4959 eV per atom

=====

# 6
Below is an optimized crystal structure of Cs2CdHgPt, with properties calculated at the GGA-PBE level.

Structure (POSCAR):
```
Cs2CdHgPt
1.0
6.709 0.000 0.000
0.000 6.709 0.000
0.000 0.000 5.294
Cs Hg Pt Cd
2 1 1 1
Cartesian
0.000 3.354 0.000
3.354 0.000 0.000
0.000 0.000 2.647
0.000 0.000 0.000
3.354 3.354 2.647
```

Calculated values
Formation enthalpy at 0 K = -40 meV per atom
Polymorph energy (0 for the lowest one) = 62 meV per atom
Total energy = -1.8326 eV per atom

=====

# 7
Below is an optimized crystal structure of TlSbH2F8, with properties calculated at the GGA-PBE level.

Structure (POSCAR):
```
TlSbH2F8
1.0
5.015 0.885 0.405
0.936 4.911 -0.060
0.723 -0.094 8.050
Tl Sb H F
1 1 2 8
Cartesian
0.362 -0.047 4.025
0.000 0.000 0.000
2.541 2.398 5.789
4.134 3.303 2.606
1.844 3.975 1.350
4.575 4.492 0.379
4.092 1.897 1.799
4.831 1.726 7.045
2.099 1.210 8.016
2.582 3.804 6.596
4.181 3.887 3.376
2.494 1.815 5.019
```

Calculated values
Total energy = -4.3808 eV per atom

=====

# 8
Below is an optimized crystal structure of In2SnBiIr, with properties calculated at the GGA-PBE level.

Structure (POSCAR):
```
In2SnBiIr
1.0
-3.996 -2.672 2.053
3.218 -2.083 3.553
-0.982 3.918 3.187
Ir In Bi Sn
1 2 1 1
Cartesian
0.000 0.000 0.000
1.609 -1.042 1.777
-1.998 -1.336 1.026
-0.880 -0.418 4.397
-0.491 1.959 1.594
```

Calculated values
Formation enthalpy at 0 K = 51 meV per atom
Polymorph energy (0 for the lowest one) = 0 meV per atom
Total energy = -4.3933 eV per atom

=====

# 9
Below is an optimized crystal structure of Hf3TcN, with properties calculated at the GGA-PBE level.

Structure (POSCAR):
```
Hf3TcN
1.0
-1.800 3.582 -2.876
-3.873 -2.844 -1.118
-2.470 1.850 3.849
Hf Tc N
3 1 1
Cartesian
-1.937 -1.422 -0.559
-1.235 0.925 1.925
-0.900 1.791 -1.438
0.000 0.000 0.000
-4.071 1.294 -0.072
```

Calculated values
Polymorph energy (0 for the lowest one) = 2334 meV per atom
Total energy = -8.2774 eV per atom
ΔE_f (raw) = 7.16 eV/f.u.

=====

# 10
Below is an optimized crystal structure of VSIN2, with properties calculated at the GGA-PBE level.

Structure (POSCAR):
```
VSIN2
1.0
3.838 0.000 0.000
0.000 3.838 0.000
0.000 0.000 5.410
I S N V
1 1 2 1
Cartesian
1.919 1.919 2.705
0.000 0.000 2.705
0.000 1.919 0.000
1.919 0.000 0.000
0.000 0.000 0.000
```

Calculated values
Polymorph energy (0 for the lowest one) = 0 meV per atom
Total energy = -5.6850 eV per atom
ΔE_f (raw) = 3.02 eV/f.u.

=====

# 11
Below is an optimized crystal structure of DyZrP2Rh5, with properties calculated at the GGA-PBE level.

Structure (POSCAR):
```
DyZrP2Rh5
1.0
4.016 0.000 0.000
0.000 4.016 0.000
0.000 0.000 10.420
Dy Zr P Rh
1 1 2 5
Cartesian
0.000 0.000 5.210
0.000 0.000 0.000
2.008 2.008 2.951
2.008 2.008 7.469
0.000 2.008 1.898
2.008 0.000 1.898
0.000 2.008 8.522
2.008 0.000 8.522
2.008 2.008 5.210
```

Calculated values
Formation enthalpy at 0 K = -753 meV per atom
Total energy = -7.5004 eV per atom

=====

# 12
Below is an optimized crystal structure of Nd8Ho2Tl, with properties calculated at the GGA-PBE level.

Structure (POSCAR):
```
Nd8Ho2Tl
1.0
-1.806 3.113 -4.124
-9.746 -3.438 1.654
-5.916 3.278 5.056
Nd Ho Tl
8 2 1
Cartesian
-9.313 0.056 0.464
-14.659 0.612 3.216
-6.459 -2.278 1.096
-10.246 -0.916 3.776
-7.163 3.889 -1.201
-10.949 5.252 1.479
-2.749 2.361 -0.642
-8.095 2.918 2.111
-6.000 1.060 -0.214
-11.408 1.914 2.789
-17.437 2.963 2.580
```

Calculated values
Formation enthalpy at 0 K = 79 meV per atom
Polymorph energy (0 for the lowest one) = 121 meV per atom
Total energy = -4.4364 eV per atom

=====

# 13
Below is an optimized crystal structure of YLuPuAl, with properties calculated at the GGA-PBE level.

Structure (POSCAR):
```
YLuPuAl
1.0
5.272 0.000 0.000
2.636 4.565 0.000
2.636 1.522 4.304
Y Lu Al Pu
1 1 1 1
Cartesian
0.000 0.000 0.000
2.636 1.522 1.076
7.908 4.565 3.228
5.272 3.044 2.152
```

Calculated values
Formation enthalpy at 0 K = -4 meV per atom
Total energy = -7.2688 eV per atom

=====

# 14
Below is an optimized crystal structure of Pa4AsP2C, with properties calculated at the GGA-PBE level.

Structure (POSCAR):
```
Pa4AsP2C
1.0
3.871 0.000 0.000
-1.936 6.366 0.000
0.000 0.000 14.241
Pa As P C
8 2 4 2
Cartesian
0.000 3.625 1.718
1.936 2.741 8.838
1.936 2.741 12.523
0.000 3.625 5.403
0.000 0.000 7.120
0.000 0.000 0.000
0.000 5.350 10.681
1.936 1.016 3.560
0.000 1.203 10.681
1.936 5.163 3.560
0.000 4.580 8.025
1.936 1.786 0.904
1.936 1.786 6.216
0.000 4.580 13.337
1.936 4.043 10.681
0.000 2.323 3.560
```

Calculated values
Formation enthalpy at 0 K = -853 meV per atom
Total energy = -8.6878 eV per atom

=====

# 15
Below is an optimized crystal structure of SiRu2W, with properties calculated at the GGA-PBE level.

Structure (POSCAR):
```
SiRu2W
1.0
-4.502 1.138 -1.116
-4.528 -0.167 1.509
-0.800 3.950 1.955
Ru Si W
2 1 1
Cartesian
-8.997 1.183 0.498
-7.481 3.434 1.632
-4.929 2.708 1.297
-2.368 1.027 0.487
```

Calculated values
Total energy = -9.4032 eV per atom
ΔE_f (raw) = -0.69 eV/f.u.

=====

# 16
Below is an optimized crystal structure of Tb2MgAg3, with properties calculated at the GGA-PBE level.

Structure (POSCAR):
```
Tb2MgAg3
1.0
5.047 0.000 0.000
-2.524 4.371 0.000
0.000 0.000 12.291
Tb Mg Ag
4 2 6
Cartesian
0.000 0.000 6.146
0.000 2.914 2.185
2.524 1.457 10.107
0.000 0.000 0.000
0.000 2.914 8.172
2.524 1.457 4.119
0.000 2.914 5.208
2.524 1.457 1.031
0.000 0.000 9.173
0.000 0.000 3.118
0.000 2.914 11.261
2.524 1.457 7.083
```

Calculated values
Formation enthalpy at 0 K = -292 meV per atom
Polymorph energy (0 for the lowest one) = 0 meV per atom
Total energy = -3.5272 eV per atom

=====

# 17
Below is an optimized crystal structure of CoAsRh3, with properties calculated at the GGA-PBE level.

Structure (POSCAR):
```
CoAsRh3
1.0
-3.115 0.950 -3.043
-1.784 -4.045 0.564
-2.642 1.612 3.208
Co As Rh
1 1 3
Cartesian
0.000 0.000 0.000
-3.770 -0.742 0.364
-0.892 -2.023 0.282
-1.321 0.806 1.604
-1.558 0.475 -1.521
```

Calculated values
Formation enthalpy at 0 K = 1009 meV per atom
Polymorph energy (0 for the lowest one) = 256 meV per atom
Total energy = -5.7527 eV per atom

=====

# 18
Below is an optimized crystal structure of Ag5BiSe6, with properties calculated at the GGA-PBE level.

Structure (POSCAR):
```
Ag5BiSe6
1.0
-6.234 -2.043 -2.934
0.333 -6.286 -3.815
-1.136 -6.170 2.968
Ag Bi Se
5 1 6
Cartesian
-3.819 -6.184 -0.123
-0.259 -4.131 -0.317
-2.950 -4.165 -3.374
-0.545 -8.326 -0.530
-3.218 -8.316 -3.658
0.000 0.000 0.000
-5.055 -4.520 -1.800
-1.710 -5.819 -1.713
-1.598 -1.869 -1.587
-4.303 -6.461 -5.162
-5.327 -8.681 -2.068
-1.982 -9.980 -1.981
```

Calculated values
Total energy = -3.3362 eV per atom
ΔE_f (raw) = -0.99 eV/f.u.

=====

# 19
Below is an optimized crystal structure of SrErInGa, with properties calculated at the GGA-PBE level.

Structure (POSCAR):
```
SrErInGa
1.0
-5.126 -1.626 0.372
-2.410 -2.307 -4.234
-1.158 -5.264 0.096
Sr In Ga Er
1 1 1 1
Cartesian
-4.347 -4.598 -1.883
-2.174 -2.299 -0.942
-6.521 -6.898 -2.825
0.000 0.000 0.000
```

Calculated values
Formation enthalpy at 0 K = -360 meV per atom
Total energy = -3.3625 eV per atom

=====

# 20
Below is an optimized crystal structure of Pt2RhBr, with properties calculated at the GGA-PBE level.

Structure (POSCAR):
```
Pt2RhBr
1.0
3.344 0.810 2.981
-0.015 3.837 2.450
-0.848 -0.157 4.470
Rh Br Pt
1 1 2
Cartesian
1.240 2.245 4.950
0.000 0.000 0.000
0.620 1.123 2.475
1.860 3.368 7.425
```

Calculated values
Polymorph energy (0 for the lowest one) = 313 meV per atom
Total energy = -4.5769 eV per atom
ΔE_f (raw) = 2.80 eV/f.u.

=====

# 21
Below is an optimized crystal structure of CeIr4Pd, with properties calculated at the GGA-PBE level.

Structure (POSCAR):
```
CeIr4Pd
1.0
-4.239 -2.693 1.657
0.291 -5.238 0.672
-0.091 -2.050 4.874
Ir Pd Ce
4 1 1
Cartesian
-2.479 -5.213 2.065
-2.670 -3.619 4.166
-2.524 -6.238 4.502
-0.404 -4.891 3.674
0.000 0.000 0.000
-1.010 -2.495 1.801
```

Calculated values
Formation enthalpy at 0 K = -295 meV per atom
Total energy = -8.0564 eV per atom

=====

# 22
Below is an optimized crystal structure of K4Nd3TiS8, with properties calculated at the GGA-PBE level.

Structure (POSCAR):
```
K4Nd3TiS8
1.0
8.154 0.000 0.000
0.000 8.746 0.406
-4.077 -4.071 5.771
K Nd Ti S
4 3 1 8
Cartesian
4.077 0.000 0.000
2.039 -2.035 2.885
0.000 0.000 0.000
-2.039 -2.035 2.885
4.077 4.373 0.203
2.039 2.338 3.088
-2.039 2.338 3.088
0.000 4.373 0.203
-2.196 2.125 5.930
0.000 4.317 2.824
0.000 0.377 3.146
2.196 2.125 5.930
1.881 2.550 0.246
4.077 4.298 3.031
4.077 0.358 3.353
6.273 2.550 0.246
```

Calculated values
Total energy = -5.3942 eV per atom
ΔE_f (raw) = -26.70 eV/f.u.

=====

# 23
Below is an optimized crystal structure of PrDy2Er3Bi6, with properties calculated at the GGA-PBE level.

Structure (POSCAR):
```
PrDy2Er3Bi6
1.0
-0.938 3.894 2.033
-8.571 -2.529 0.892
4.632 -5.234 7.202
Pr Dy Er Bi
1 2 3 6
Cartesian
-0.469 1.947 1.016
-3.412 -1.924 7.075
-1.464 -1.945 3.051
-4.754 0.683 1.462
0.880 -0.679 6.669
-5.756 -3.190 3.457
-5.110 -4.485 6.236
-4.092 -0.621 4.266
0.234 0.616 3.890
-2.217 -0.658 0.238
-2.659 -3.211 9.887
-0.784 -3.247 5.860
```

Calculated values
Formation enthalpy at 0 K = -848 meV per atom
Total energy = -5.0945 eV per atom

=====

# 24
Below is an optimized crystal structure of TlCo2Au2, with properties calculated at the GGA-PBE level.

Structure (POSCAR):
```
TlCo2Au2
1.0
-4.495 4.866 -1.487
0.433 -1.611 -6.581
-2.745 -2.410 0.409
Co Tl Au
4 2 4
Cartesian
-1.329 0.433 -6.360
-3.689 3.286 -5.386
-2.733 2.822 -1.708
-0.373 -0.031 -2.681
0.000 0.000 0.000
-2.031 1.628 -4.034
-1.837 -1.465 -4.438
-4.013 0.703 -6.265
-4.969 2.310 -3.219
-2.793 0.142 -1.393
```

Calculated values
Formation enthalpy at 0 K = 322 meV per atom
Polymorph energy (0 for the lowest one) = 0 meV per atom
Total energy = -4.3043 eV per atom

=====

# 25
Below is an optimized crystal structure of AcTlGePd, with properties calculated at the GGA-PBE level.

Structure (POSCAR):
```
AcTlGePd
1.0
5.202 0.000 0.000
2.601 4.505 0.000
2.601 1.502 4.247
Ac Ge Tl Pd
1 1 1 1
Cartesian
2.601 1.502 1.062
0.000 0.000 0.000
7.803 4.505 3.185
5.202 3.003 2.124
```

Calculated values
Formation enthalpy at 0 K = -371 meV per atom
Total energy = -4.4426 eV per atom